Record 1
The following is a DFT calculation (PBE) of an optimized crystal structure of Ac2AlPd4.

Output
For the energy above the most stable polymorph in this dataset, the calculation gives 0.10 eV per formula unit. The value obtained for the energy relative to the elements is -625.7 meV/atom. The calculation puts the density of states at the Fermi level at 0.44 states/eV/atom. The space group is Cmmm. The spin magnetization comes out at 0.00 μB per formula unit.

abc: 5.2702 16.2345 4.1831
angles: 90.00 90.00 90.00
Last column: nearest neighbours and their distance in Å.
Atoms (fractional coordinates):
Ac 0.0000 0.1594 0.0000  4 Pd 2.91-3.15
Ac 0.0000 0.8406 0.0000  4 Pd 2.91-3.15
Ac 0.5000 0.3406 0.0000  4 Pd 2.91-3.15
Ac 0.5000 0.6594 0.0000  4 Pd 2.91-3.15
Al 0.0000 0.5000 0.5000  4 Pd 2.49
Al 0.5000 0.0000 0.5000  4 Pd 2.49
Pd 0.0000 0.3045 0.5000  2 Pd 2.77
Pd 0.0000 0.4168 0.0000  2 Al 2.49, 3 Pd 2.70-2.77
Pd 0.0000 0.5832 0.0000  2 Al 2.49, 3 Pd 2.70-2.77
Pd 0.0000 0.6955 0.5000  2 Pd 2.77
Pd 0.5000 0.0832 0.0000  2 Al 2.49, 3 Pd 2.70-2.77
Pd 0.5000 0.1955 0.5000  2 Pd 2.77
Pd 0.5000 0.8045 0.5000  2 Pd 2.77
Pd 0.5000 0.9168 0.0000  2 Al 2.49, 3 Pd 2.70-2.77

Record 2
The following is a DFT calculation (PBE) of an optimized crystal structure of CsCa3Se.

Output
For the energy above the most stable polymorph in this dataset, the calculation gives 7.09 eV per formula unit. The calculation puts the density of states at the Fermi level at 0.82 states/eV/atom. The space group is Pm-3m. The spin magnetization comes out at 3.92 μB per formula unit. The energy relative to the elements, uncorrected is 1.01 eV per atom.

abc: 6.0329 6.0329 6.0329
angles: 90.00 90.00 90.00
Last column: nearest neighbours and their distance in Å.
Atoms (fractional coordinates):
Cs 0.0000 0.0000 0.0000  6 Ca 3.02
Ca 0.0000 0.0000 0.5000  2 Cs 3.02
Ca 0.0000 0.5000 0.0000  2 Cs 3.02
Ca 0.5000 0.0000 0.0000  2 Cs 3.02
Se 0.5000 0.5000 0.5000  12 Ca 4.27

Repeat the first record exactly.
The following is a DFT calculation (PBE) of an optimized crystal structure of Ac2AlPd4.

Output
For the energy above the most stable polymorph in this dataset, the calculation gives 0.10 eV per formula unit. The value obtained for the energy relative to the elements is -625.7 meV/atom. The calculation puts the density of states at the Fermi level at 0.44 states/eV/atom. The space group is Cmmm. The spin magnetization comes out at 0.00 μB per formula unit.

abc: 5.2702 16.2345 4.1831
angles: 90.00 90.00 90.00
Last column: nearest neighbours and their distance in Å.
Atoms (fractional coordinates):
Ac 0.0000 0.1594 0.0000  4 Pd 2.91-3.15
Ac 0.0000 0.8406 0.0000  4 Pd 2.91-3.15
Ac 0.5000 0.3406 0.0000  4 Pd 2.91-3.15
Ac 0.5000 0.6594 0.0000  4 Pd 2.91-3.15
Al 0.0000 0.5000 0.5000  4 Pd 2.49
Al 0.5000 0.0000 0.5000  4 Pd 2.49
Pd 0.0000 0.3045 0.5000  2 Pd 2.77
Pd 0.0000 0.4168 0.0000  2 Al 2.49, 3 Pd 2.70-2.77
Pd 0.0000 0.5832 0.0000  2 Al 2.49, 3 Pd 2.70-2.77
Pd 0.0000 0.6955 0.5000  2 Pd 2.77
Pd 0.5000 0.0832 0.0000  2 Al 2.49, 3 Pd 2.70-2.77
Pd 0.5000 0.1955 0.5000  2 Pd 2.77
Pd 0.5000 0.8045 0.5000  2 Pd 2.77
Pd 0.5000 0.9168 0.0000  2 Al 2.49, 3 Pd 2.70-2.77